--- P ---
## Sr2VO4 (PBE with a Hubbard U)

Data for crystalline Sr2VO4 at its relaxed geometry.

a b c (Å): 14.6755 5.9584 10.6965
angles (deg): 90.00 90.00 90.00
Closest atoms and distances in Å follow each position.
Atoms (fractional coordinates):
Sr (0.0232, 0.2295, 0.1063)  4 O 2.39-2.59
Sr (0.0953, 0.2287, 0.7375)  5 O 2.42-2.66
Sr (0.1489, 0.7074, 0.3542)  7 O 2.57-2.75
Sr (0.2070, 0.6938, 0.0000)  5 O 2.43-2.62
Sr (0.2930, 0.1938, 0.5000)  5 O 2.43-2.62
Sr (0.3511, 0.2074, 0.8542)  7 O 2.57-2.75
Sr (0.4047, 0.7287, 0.2375)  5 O 2.42-2.66
Sr (0.4768, 0.7295, 0.6063)  4 O 2.39-2.59
Sr (0.5232, 0.2705, 0.1063)  4 O 2.39-2.59
Sr (0.5953, 0.2713, 0.7375)  5 O 2.42-2.66
Sr (0.6489, 0.7926, 0.3542)  7 O 2.57-2.75
Sr (0.7070, 0.8062, 0.0000)  5 O 2.43-2.62
Sr (0.7930, 0.3062, 0.5000)  5 O 2.43-2.62
Sr (0.8511, 0.2926, 0.8542)  7 O 2.57-2.75
Sr (0.9047, 0.7713, 0.2375)  5 O 2.42-2.66
Sr (0.9768, 0.7705, 0.6063)  4 O 2.39-2.59
V (0.0291, 0.2608, 0.4413)  4 O 1.81-1.85
V (0.2290, 0.7802, 0.7059)  4 O 1.82-1.85
V (0.2710, 0.2802, 0.2059)  4 O 1.82-1.85
V (0.4709, 0.7608, 0.9413)  4 O 1.81-1.85
V (0.5291, 0.2392, 0.4413)  4 O 1.81-1.85
V (0.7290, 0.7198, 0.7059)  4 O 1.82-1.85
V (0.7710, 0.2198, 0.2059)  4 O 1.82-1.85
V (0.9709, 0.7392, 0.9413)  4 O 1.81-1.85
O (0.0140, 0.4669, 0.8833)  1 V 1.85
O (0.0277, 0.0422, 0.3244)  1 V 1.81
O (0.0457, 0.8295, 0.0713)  1 V 1.85
O (0.1335, 0.3567, 0.5139)  1 V 1.81
O (0.1487, 0.8615, 0.5850)  1 V 1.82
O (0.1630, 0.4119, 0.1574)  1 V 1.84
O (0.2039, 0.9761, 0.8359)  1 V 1.85
O (0.2331, 0.5081, 0.7830)  1 V 1.82
O (0.2669, 0.0081, 0.2830)  1 V 1.82
O (0.2961, 0.4761, 0.3359)  1 V 1.85
O (0.3370, 0.9119, 0.6574)  1 V 1.84
O (0.3513, 0.3615, 0.0850)  1 V 1.82
O (0.3665, 0.8567, 0.0139)  1 V 1.81
O (0.4543, 0.3295, 0.5713)  1 V 1.85
O (0.4723, 0.5422, 0.8244)  1 V 1.81
O (0.4860, 0.9669, 0.3833)  1 V 1.85
O (0.5140, 0.0331, 0.8833)  1 V 1.85
O (0.5277, 0.4578, 0.3244)  1 V 1.81
O (0.5457, 0.6705, 0.0713)  1 V 1.85
O (0.6335, 0.1433, 0.5139)  1 V 1.81
O (0.6487, 0.6385, 0.5850)  1 V 1.82
O (0.6630, 0.0881, 0.1574)  1 V 1.84
O (0.7039, 0.5239, 0.8359)  1 V 1.85
O (0.7331, 0.9919, 0.7830)  1 V 1.82
O (0.7669, 0.4919, 0.2830)  1 V 1.82
O (0.7961, 0.0239, 0.3359)  1 V 1.85
O (0.8370, 0.5881, 0.6574)  1 V 1.84
O (0.8513, 0.1385, 0.0850)  1 V 1.82
O (0.8665, 0.6433, 0.0139)  1 V 1.81
O (0.9543, 0.1705, 0.5713)  1 V 1.85
O (0.9723, 0.9578, 0.8244)  1 V 1.81
O (0.9860, 0.5331, 0.3833)  1 V 1.85

***

--- Q ---
## Sr2VO4 (PBE with a Hubbard U)

Data for crystalline Sr2VO4 at its relaxed geometry.

Values from the calculation:
The calculation puts the density of states at the Fermi level at 0.189 states/eV/atom.

a b c (Å): 7.0150 7.0150 7.0150
angles (deg): 148.27 148.27 45.49
Closest atoms and distances in Å follow each position.
Atoms (fractional coordinates):
Sr (0.1485, 0.1485, 0.0000)  9 O 2.49-2.72
Sr (0.8515, 0.8515, 0.0000)  9 O 2.49-2.72
V (0.5000, 0.5000, 0.0000)  6 O 1.92-2.06
O (0.0000, 0.5000, 0.5000)  2 V 1.92
O (0.3407, 0.3407, 0.0000)  1 V 2.06
O (0.5000, 0.0000, 0.5000)  2 V 1.92
O (0.6593, 0.6593, 0.0000)  1 V 2.06

***

The structure with the most favorable energy is Q; the runner-up is 0.017 eV/atom above it.

***

--- P ---
## SrVO2 (PBE with a Hubbard U)

Data for crystalline SrVO2 at its relaxed geometry.

Values from the calculation:
The calculation puts the density of states at the Fermi level at 0.431 states/eV/atom.

a b c (Å): 4.1845 4.1845 4.1845
angles (deg): 60.00 60.00 60.00
Closest atoms and distances in Å follow each position.
Atoms (fractional coordinates):
Sr (0.0000, 0.0000, 0.0000)  8 O 2.56
V (0.5000, 0.5000, 0.5000)  8 O 2.56
O (0.2500, 0.2500, 0.2500)  4 Sr 2.56, 4 V 2.56
O (0.7500, 0.7500, 0.7500)  4 Sr 2.56, 4 V 2.56

***

--- Q ---
## SrVO2 (PBE with a Hubbard U)

Data for crystalline SrVO2 at its relaxed geometry.

Values from the calculation:
The calculation puts the density of states at the Fermi level at 0.131 states/eV/atom.

a b c (Å): 6.5412 6.5412 6.5412
angles (deg): 33.69 33.69 33.69
Closest atoms and distances in Å follow each position.
Atoms (fractional coordinates):
Sr (0.0000, 0.0000, 0.0000)  6 O 2.53
V (0.5000, 0.5000, 0.5000)  2 O 1.81
O (0.4019, 0.4019, 0.4019)  1 V 1.81
O (0.5981, 0.5981, 0.5981)  1 V 1.81

***

The structure with the most favorable energy is Q; the runner-up is 0.635 eV/atom above it.

***

--- P ---
## SrVO2 (PBE with a Hubbard U)

Data for crystalline SrVO2 at its relaxed geometry.

Values from the calculation:
The calculation puts the density of states at the Fermi level at 0.253 states/eV/atom.

a b c (Å): 6.9694 6.9694 6.9694
angles (deg): 27.25 27.25 27.25
Closest atoms and distances in Å follow each position.
Atoms (fractional coordinates):
Sr (0.0000, 0.0000, 0.0000)  2 O 2.36
V (0.5000, 0.5000, 0.5000)  6 O 2.14
O (0.1173, 0.1173, 0.1173)  3 V 2.14, 1 Sr 2.36
O (0.8827, 0.8827, 0.8827)  3 V 2.14, 1 Sr 2.36

***

--- Q ---
## SrVO2 (PBE with a Hubbard U)

Data for crystalline SrVO2 at its relaxed geometry.

Values from the calculation:
The calculation puts the density of states at the Fermi level at 0.213 states/eV/atom.

a b c (Å): 6.6295 6.6295 6.6295
angles (deg): 136.34 136.34 63.46
Closest atoms and distances in Å follow each position.
Atoms (fractional coordinates):
Sr (0.0000, 0.0000, 0.0000)  4 O 2.45
Sr (0.7500, 0.2500, 0.5000)  4 O 2.45
V (0.2500, 0.7500, 0.5000)  4 O 2.07
V (0.5000, 0.5000, 0.0000)  4 O 2.07
O (0.1940, 0.6250, 0.0690)  2 V 2.07
O (0.3750, 0.4440, 0.5690)  2 V 2.07
O (0.5560, 0.1250, 0.9310)  2 V 2.07
O (0.8750, 0.8060, 0.4310)  2 V 2.07

***

The structure with the most favorable energy is Q; the runner-up is 0.314 eV/atom above it.